## Li3ZrPa2Se6 (PBE)

Data for crystalline Li3ZrPa2Se6 at its relaxed geometry.

a = 3.8999 Å, b = 8.1039 Å, c = 8.9851 Å
α = 106.26°, β = 102.53°, γ = 90.00°
Closest atoms and distances in Å follow each position.
Atoms (fractional coordinates):
1 Li 0.8334 0.1721 0.6669  6 Se 2.72-2.82
2 Se 0.0054 0.7569 0.0109  3 Li 2.72-2.83, 2 Zr 2.79, 1 Pa 2.83
3 Se 0.6655 0.0642 0.3309  3 Li 2.74-2.82, 1 Zr 2.80, 2 Pa 2.87
4 Se 0.3365 0.4121 0.6730  3 Li 2.74-2.75, 3 Pa 2.90-2.92
5 Se 0.3345 0.9358 0.6691  3 Li 2.74-2.82, 1 Zr 2.80, 2 Pa 2.87
6 Pa 0.8372 0.6782 0.6744  6 Se 2.83-2.92
7 Zr 0.5000 0.0000 0.0000  6 Se 2.79-2.80
8 Li 0.5000 0.5000 0.0000  6 Se 2.75-2.83
9 Li 0.1666 0.8279 0.3331  6 Se 2.72-2.82
10 Se 0.6635 0.5879 0.3270  3 Li 2.74-2.75, 3 Pa 2.90-2.92
11 Pa 0.1628 0.3218 0.3256  6 Se 2.83-2.92
12 Se 0.9946 0.2431 0.9891  3 Li 2.72-2.83, 2 Zr 2.79, 1 Pa 2.83

=====

## LiZrPa2Se4 (PBE)

Data for crystalline LiZrPa2Se4 at its relaxed geometry.

a = 3.8357 Å, b = 6.7450 Å, c = 7.1359 Å
α = 107.57°, β = 90.00°, γ = 90.00°
Closest atoms and distances in Å follow each position.
Atoms (fractional coordinates):
1 Pa 0.5000 0.0000 0.5000  6 Se 2.94
2 Pa 0.0000 0.5000 0.5000  6 Se 2.88
3 Se 0.5000 0.7490 0.7725  1 Li 2.66, 2 Zr 2.74, 3 Pa 2.88-2.94
4 Se 0.0000 0.2642 0.7762  2 Li 2.69, 1 Zr 2.73, 3 Pa 2.88-2.94
5 Zr 0.0000 0.0000 0.0000  6 Se 2.73-2.74
6 Li 0.5000 0.5000 0.0000  6 Se 2.66-2.69
7 Se 0.0000 0.7358 0.2238  2 Li 2.69, 1 Zr 2.73, 3 Pa 2.88-2.94
8 Se 0.5000 0.2510 0.2275  1 Li 2.66, 2 Zr 2.74, 3 Pa 2.88-2.94

=====

## Li2Pa2Si3 (PBE)

Data for crystalline Li2Pa2Si3 at its relaxed geometry.

a = 4.3125 Å, b = 6.4755 Å, c = 9.2373 Å
α = 90.00°, β = 103.50°, γ = 90.00°
Closest atoms and distances in Å follow each position.
Atoms (fractional coordinates):
1 Pa 0.8467 0.7500 0.6933  6 Si 2.96-3.14, 6 Li 3.04-3.07
2 Si 0.4380 0.5662 0.8761  2 Si 2.38-2.39, 1 Li 2.44
3 Pa 0.0484 0.7500 0.0968  9 Si 2.98-3.16
4 Pa 0.1533 0.2500 0.3067  6 Si 2.96-3.14, 6 Li 3.04-3.07
5 Pa 0.9516 0.2500 0.9032  9 Si 2.98-3.16
6 Si 0.2199 0.7500 0.4398  6 Li 2.53-2.61
7 Si 0.5620 0.0662 0.1239  2 Si 2.38-2.39, 1 Li 2.44
8 Li 0.6894 0.5645 0.3787  1 Li 2.40, 4 Si 2.44-2.61
9 Si 0.5620 0.4338 0.1239  2 Si 2.38-2.39, 1 Li 2.44
10 Li 0.3106 0.0645 0.6213  1 Li 2.40, 4 Si 2.44-2.61
11 Si 0.7801 0.2500 0.5602  6 Li 2.53-2.61
12 Li 0.3106 0.4355 0.6213  1 Li 2.40, 4 Si 2.44-2.61
13 Li 0.6894 0.9355 0.3787  1 Li 2.40, 4 Si 2.44-2.61
14 Si 0.4380 0.9338 0.8761  2 Si 2.38-2.39, 1 Li 2.44

=====

## LiPaSi (PBE)

Data for crystalline LiPaSi at its relaxed geometry.

Computed properties:
The value obtained for the energy above the lowest structure with this stoichiometry is 33.5 kJ/mol of atoms.

a = 3.8246 Å, b = 3.8246 Å, c = 4.9686 Å
α = 112.64°, β = 112.64°, γ = 90.00°
Closest atoms and distances in Å follow each position.
Atoms (fractional coordinates):
1 Pa 0.6256 0.6256 0.2512  5 Li 2.75-3.05, 5 Si 2.96-2.97
2 Si 0.2693 0.2693 0.5386  1 Li 2.62
3 Li 0.9551 0.9551 0.9103  1 Si 2.62, 1 Pa 2.75

=====

## Li2PaSi2 (PBE)

Data for crystalline Li2PaSi2 at its relaxed geometry.

a = 4.1713 Å, b = 4.1713 Å, c = 6.3665 Å
α = 70.88°, β = 70.88°, γ = 60.00°
Closest atoms and distances in Å follow each position.
Atoms (fractional coordinates):
1 Pa 0.0000 0.5000 0.0000  6 Si 2.93
2 Li 0.1916 0.6916 0.4251  3 Si 2.55, 3 Li 2.57
3 Li 0.8084 0.3084 0.5749  3 Si 2.55, 3 Li 2.57
4 Si 0.4277 0.9277 0.7168  3 Li 2.55, 1 Si 2.56
5 Si 0.5723 0.0723 0.2832  3 Li 2.55, 1 Si 2.56

=====

## LiPaSi4 (PBE)

Data for crystalline LiPaSi4 at its relaxed geometry.

a = 5.1811 Å, b = 5.1811 Å, c = 5.1811 Å
α = 60.00°, β = 60.00°, γ = 60.00°
Closest atoms and distances in Å follow each position.
Atoms (fractional coordinates):
1 Si 0.6266 0.6266 0.6266  6 Si 2.56-2.62
2 Li 0.0000 0.0000 0.0000  12 Si 3.03, 4 Pa 3.17
3 Pa 0.2500 0.2500 0.2500  12 Si 3.04, 4 Li 3.17
4 Si 0.1202 0.6266 0.6266  6 Si 2.56-2.62
5 Si 0.6266 0.6266 0.1202  6 Si 2.56-2.62
6 Si 0.6266 0.1202 0.6266  6 Si 2.56-2.62

=====

## Li2PaSi4 (PBE)

Data for crystalline Li2PaSi4 at its relaxed geometry.

a = 4.0787 Å, b = 4.0787 Å, c = 8.7291 Å
α = 76.49°, β = 76.49°, γ = 60.00°
Closest atoms and distances in Å follow each position.
Atoms (fractional coordinates):
1 Si 0.2459 0.2459 0.2623  3 Si 2.40, 3 Li 2.66
2 Si 0.7541 0.7541 0.7377  3 Si 2.40, 3 Li 2.66
3 Si 0.4028 0.4028 0.7917  3 Si 2.40
4 Li 0.1362 0.1362 0.5913  7 Si 2.66-2.90, 3 Li 2.81
5 Li 0.8638 0.8638 0.4087  7 Si 2.66-2.90, 3 Li 2.81
6 Si 0.5972 0.5972 0.2083  3 Si 2.40
7 Pa 0.0000 0.0000 0.0000  12 Si 2.93-3.23

=====

## LiPaSi (PBE)

Data for crystalline LiPaSi at its relaxed geometry.

Computed properties:
The value obtained for the energy above the lowest structure with this stoichiometry is 0.0 kJ/mol of atoms.

a = 3.1773 Å, b = 4.4700 Å, c = 4.4700 Å
α = 120.00°, β = 90.00°, γ = 90.00°
Closest atoms and distances in Å follow each position.
Atoms (fractional coordinates):
1 Si 0.1665 0.0000 0.0000  3 Li 2.58
2 Pa 0.6667 0.3333 0.6667  6 Si 3.03, 6 Li 3.03, 2 Pa 3.18
3 Li 0.1667 0.6667 0.3333  3 Si 2.58

=====

## LiPaSi (PBE)

Data for crystalline LiPaSi at its relaxed geometry.

Computed properties:
The value obtained for the energy above the lowest structure with this stoichiometry is 13.3 kJ/mol of atoms.

a = 5.9531 Å, b = 4.4436 Å, c = 6.9591 Å
α = 73.35°, β = 64.68°, γ = 47.94°
Closest atoms and distances in Å follow each position.
Atoms (fractional coordinates):
1 Si 0.5978 0.0000 0.8043  1 Si 2.46, 2 Li 2.49
2 Si 0.4022 0.0000 0.1957  1 Si 2.46, 2 Li 2.49
3 Li 0.8287 0.3427 0.0000  1 Li 2.26, 2 Si 2.49
4 Pa 0.2500 0.5000 0.5000  4 Si 2.93, 2 Pa 2.98
5 Pa 0.7500 0.5000 0.5000  4 Si 2.93, 2 Pa 2.98
6 Li 0.1713 0.6573 0.0000  1 Li 2.26, 2 Si 2.49

=====

## LiPaSiTc (PBE)

Data for crystalline LiPaSiTc at its relaxed geometry.

a = 4.5573 Å, b = 4.5573 Å, c = 4.5573 Å
α = 60.00°, β = 60.00°, γ = 60.00°
Closest atoms and distances in Å follow each position.
Atoms (fractional coordinates):
1 Pa 0.2500 0.2500 0.2500  4 Li 2.79, 4 Tc 2.79
2 Tc 0.0000 0.0000 0.0000  4 Pa 2.79, 4 Si 2.79
3 Si 0.7500 0.7500 0.7500  4 Li 2.79, 4 Tc 2.79
4 Li 0.5000 0.5000 0.5000  4 Si 2.79, 4 Pa 2.79

=====

## LiSmPaTc (PBE)

Data for crystalline LiSmPaTc at its relaxed geometry.

Computed properties:
The calculation puts the calculated formation energy at 0.130 eV/atom.

a = 4.9518 Å, b = 4.9518 Å, c = 4.9518 Å
α = 60.00°, β = 60.00°, γ = 60.00°
Closest atoms and distances in Å follow each position.
Atoms (fractional coordinates):
1 Pa 0.7500 0.7500 0.7500  4 Tc 3.03, 4 Li 3.03
2 Sm 0.2500 0.2500 0.2500  4 Li 3.03, 4 Tc 3.03
3 Li 0.0000 0.0000 0.0000  4 Pa 3.03, 4 Sm 3.03
4 Tc 0.5000 0.5000 0.5000  4 Pa 3.03, 4 Sm 3.03

=====

## Li3Sm3PaTe8 (PBE)

Data for crystalline Li3Sm3PaTe8 at its relaxed geometry.

a = 8.8305 Å, b = 8.8299 Å, c = 8.7262 Å
α = 120.42°, β = 90.00°, γ = 120.00°
Closest atoms and distances in Å follow each position.
Atoms (fractional coordinates):
1 Pa 0.0000 0.0000 0.5000  6 Te 3.09
2 Te 0.2425 0.9935 0.2446  2 Li 3.06-3.07, 1 Pa 3.09, 2 Sm 3.14
3 Li 0.0000 0.5000 0.0000  6 Te 3.06-3.07
4 Te 0.7509 0.5019 0.2446  2 Li 3.07, 1 Pa 3.09, 2 Sm 3.14
5 Li 0.0000 0.0000 0.0000  6 Te 3.06-3.07
6 Te 0.2491 0.4981 0.7554  2 Li 3.07, 1 Pa 3.09, 2 Sm 3.14
7 Te 0.7536 0.5072 0.7606  3 Li 3.06, 3 Sm 3.15
8 Te 0.7510 0.9935 0.2446  2 Li 3.06-3.07, 1 Pa 3.09, 2 Sm 3.14
9 Sm 0.5000 0.0000 0.5000  6 Te 3.14-3.15
10 Te 0.7575 0.0065 0.7554  2 Li 3.06-3.07, 1 Pa 3.09, 2 Sm 3.14
11 Li 0.5000 0.5000 0.0000  6 Te 3.06-3.07
12 Te 0.2490 0.0065 0.7554  2 Li 3.06-3.07, 1 Pa 3.09, 2 Sm 3.14
13 Sm 0.0000 0.5000 0.5000  6 Te 3.14-3.15
14 Sm 0.5000 0.5000 0.5000  6 Te 3.14-3.15
15 Te 0.2464 0.4928 0.2394  3 Li 3.06, 3 Sm 3.15

=====

| no. | magnetization (μB/cell) | calculated total energy (eV/atom) |
| --- | --- | --- |
| 1 | 2.92 | -5.81 |
| 2 | 1.69 | -6.65 |
| 3 | 0.00 | -5.96 |
| 4 | 1.09 | -5.40 |
| 5 | 0.00 | -5.11 |
| 6 | 0.00 | -5.68 |
| 7 | 0.02 | -5.17 |
| 8 | 0.43 | -5.75 |
| 9 | 0.00 | -5.61 |
| 10 | 0.00 | -6.98 |
| 11 | 0.01 | -6.49 |
| 12 | 0.93 | -4.82 |